# MnCu2AsO6 (PBE with a Hubbard U, relaxed)
# VASP energy, eV for the cell shown: -59.71
# M_tot, μB per formula unit: 4.0
# ρ, g/cm3: 5.618
data_MnCu2AsO6
_cell_length_a 5.076
_cell_length_b 5.078
_cell_length_c 5.513
_cell_angle_alpha 62.59
_cell_angle_beta 89.96
_cell_angle_gamma 60.04
_space_group_name_H-M_alt 'P 1'
_space_group_IT_number 1
loop_
_space_group_symop_operation_xyz
'x,y,z'
loop_
_atom_site_label
_atom_site_type_symbol
_atom_site_fract_x
_atom_site_fract_y
_atom_site_fract_z
Mn1 Mn 0.000 0.000 0.000
Cu1 Cu 0.203 0.595 0.608
Cu2 Cu 0.716 0.568 0.147
As1 As 0.516 0.968 0.548
O1 O 0.147 0.074 0.350
O2 O 0.328 0.090 0.812
O3 O 0.426 0.428 0.349
O4 O 0.582 0.516 0.812
O5 O 0.779 0.796 0.349
O6 O 0.902 0.769 0.813